LaTi2VO8: relaxed, PBE+U.

E	-100.24	eV per cell
N(E_F)	0.00	states/eV/f.u.

a = 4.9150 Å, b = 4.9150 Å, c = 6.7757 Å
α = 83.01°, β = 83.01°, γ = 78.66°
Fractional positions:
1 La 0.0000 0.0000 0.5000
2 Ti 0.4313 0.4314 0.7384
3 Ti 0.5687 0.5686 0.2616
4 V 0.0000 0.0000 0.0000
5 O 0.2171 0.7880 0.2066
6 O 0.7563 0.7561 0.0524
7 O 0.7878 0.2170 0.2066
8 O 0.7829 0.2120 0.7934
9 O 0.2437 0.2439 0.9476
10 O 0.2122 0.7830 0.7934
11 O 0.6710 0.6708 0.4851
12 O 0.3290 0.3292 0.5149